Material: C
Method: DFT, GGA-PBE
State: relaxed

Lattice parameters (Å, degrees): 5.093 5.093 8.200 110.61 110.61 57.13
Atoms (fractional coordinates):
C  0.053  0.531  0.610
C  0.060  0.060  0.088
C  0.123  0.640  0.804
C  0.283  0.192  0.543
C  0.360  0.877  0.196
C  0.422  0.458  0.911
C  0.469  0.947  0.390
C  0.478  0.026  0.676
C  0.542  0.578  0.089
C  0.617  0.136  0.839
C  0.808  0.717  0.457
C  0.864  0.383  0.161
C  0.940  0.940  0.912
C  0.974  0.522  0.324

Uncorrected energy (eV/atom): -8.45
ΔE_f (eV per atom): 0.770
Magnetic moment (Bohr magnetons per cell): 2.0
Distance to the lowest polymorph of the same formula (meV per atom): 770